Te2PdCl: optimized geometry, PBE.

a = 6.8134 Å, b = 6.8134 Å, c = 6.8134 Å
α = 115.05°, β = 115.05°, γ = 98.82°
Element x y z (fractional)
Te 0.0706 0.1250 0.4456
Te 0.3750 0.9294 0.0544
Te 0.6794 0.6250 0.5544
Te 0.8750 0.3206 0.9456
Pd 0.0000 0.0000 0.0000
Pd 0.7500 0.2500 0.5000
Cl 0.2500 0.7500 0.5000
Cl 0.5000 0.5000 0.0000

Results
The value obtained for the uncorrected formation energy is 0.039 eV/atom. The density of states at the Fermi level comes out at 4.68 states/eV/f.u. The total energy is -26.335 eV/cell.